Record 1
The following is a DFT calculation (GGA-PBEsol) of an optimized crystal structure of Cr2FeNi.

Values from the calculation:
**Raw total energy**: -8.776 eV per atom
**Energy of formation from the pure elements**: 0.5 eV per formula unit
**SG**: R-3m

```
4
Lattice="-1.6083 -0.1942 -1.8449 -0.5729 -2.2106 -0.9016 -6.8140 -1.4147 4.4553" Properties=species:S:1:pos:R:3 pbc="T T T"
Cr -6.7168 -2.8616 1.2555
Cr -2.2784 -0.9579 0.4533
Fe -4.4976 -1.9097 0.8544
Ni 0.0000 0.0000 0.0000
```

Record 2
The following is a DFT calculation (GGA-PBEsol) of an optimized crystal structure of CrFe2Ni.

Values from the calculation:
**Raw total energy**: -8.516 eV per atom
**Energy of formation from the pure elements**: 0.3 eV per formula unit
**SG**: Cmmm

```
4
Lattice="2.4008 0.0261 0.0000 -0.6332 2.3159 0.0000 0.0000 0.0000 7.6909" Properties=species:S:1:pos:R:3 pbc="T T T"
Fe 0.0000 0.0000 1.9451
Fe 0.0000 0.0000 5.7458
Cr 0.8838 1.1710 0.0000
Ni 0.8838 1.1710 3.8454
```

Record 3
The following is a DFT calculation (GGA-PBEsol) of an optimized crystal structure of CrFeNi2.

Values from the calculation:
**Raw total energy**: -7.861 eV per atom
**Energy of formation from the pure elements**: 0.1 eV per formula unit
**SG**: P4mm

```
4
Lattice="2.4222 0.0000 0.0000 0.0000 2.4222 0.0000 0.0000 0.0000 7.1965" Properties=species:S:1:pos:R:3 pbc="T T T"
Ni 0.0000 0.0000 7.1903
Ni 1.2111 1.2111 1.7997
Cr 0.0000 0.0000 3.5559
Fe 1.2111 1.2111 5.4446
```

Record 4
The following is a DFT calculation (GGA-PBEsol) of an optimized crystal structure of CrFeNi2.

Values from the calculation:
**Raw total energy**: -7.856 eV per atom
**Energy of formation from the pure elements**: 0.1 eV per formula unit
**SG**: Pmmm

```
4
Lattice="-1.8911 1.5128 -0.0399 -0.3546 -0.5370 -3.5586 -2.9802 -3.7028 0.8557" Properties=species:S:1:pos:R:3 pbc="T T T"
Ni -2.2380 -2.7807 0.6426
Ni -0.7422 -0.9221 0.2131
Fe -2.6129 -1.3635 -1.3714
Cr -1.1228 0.4879 -1.7992
```

Record 5
The following is a DFT calculation (GGA-PBEsol) of an optimized crystal structure of CrFe2Ni.

Values from the calculation:
**Raw total energy**: -8.527 eV per atom
**Energy of formation from the pure elements**: 0.2 eV per formula unit
**SG**: Pmmm

```
4
Lattice="2.4604 0.0000 0.0000 0.0000 3.4876 0.0000 0.0000 0.0000 4.9487" Properties=species:S:1:pos:R:3 pbc="T T T"
Fe 0.0000 0.0000 1.2327
Fe 0.0000 0.0000 3.7160
Ni 1.2302 1.7438 0.0000
Cr 1.2302 1.7438 2.4744
```

Record 6
The following is a DFT calculation (GGA-PBEsol) of an optimized crystal structure of CrFe2Ni.

Values from the calculation:
**Raw total energy**: -8.501 eV per atom
**Energy of formation from the pure elements**: 0.3 eV per formula unit
**SG**: C2/m

```
4
Lattice="-2.3511 0.5125 -0.2795 0.4634 -4.1176 -0.9500 -0.5902 -0.3886 4.2517" Properties=species:S:1:pos:R:3 pbc="T T T"
Ni -0.2951 -0.1943 2.1259
Fe -1.9696 -1.9481 2.4973
Fe -0.5083 -2.0455 0.5250
Cr -1.1755 0.2563 -0.1397
```

Record 7
The following is a DFT calculation (GGA-PBEsol) of an optimized crystal structure of Cr2FeNi.

Values from the calculation:
**Raw total energy**: -8.833 eV per atom
**Energy of formation from the pure elements**: 0.3 eV per formula unit
**SG**: Pm

```
4
Lattice="2.4314 0.0000 0.1893 0.0000 3.9937 0.0000 -0.3424 0.0000 4.3290" Properties=species:S:1:pos:R:3 pbc="T T T"
Ni 0.6395 1.9969 3.5019
Cr 1.8023 0.0000 4.3095
Cr 2.0233 1.9969 1.4335
Fe 0.7573 0.0000 2.0508
```

Record 8
The following is a DFT calculation (GGA-PBEsol) of an optimized crystal structure of CrFe2Ni.

Values from the calculation:
**Raw total energy**: -8.583 eV per atom
**Energy of formation from the pure elements**: 0.0 eV per formula unit
**SG**: I4/mmm

```
4
Lattice="3.5039 0.0000 0.0000 0.0000 3.5039 0.0000 -1.7520 -1.7520 3.4883" Properties=species:S:1:pos:R:3 pbc="T T T"
Ni 1.7520 1.7520 0.0000
Fe 1.7520 0.0000 1.7441
Fe 0.0000 1.7520 1.7441
Cr 0.0000 0.0000 0.0000
```

Record 9
The following is a DFT calculation (GGA-PBEsol) of an optimized crystal structure of Cr2FeNi.

Values from the calculation:
**Raw total energy**: -8.850 eV per atom
**Energy of formation from the pure elements**: 0.2 eV per formula unit
**SG**: Pmmm

```
4
Lattice="-0.9644 -1.1344 1.9384 1.7029 -2.9636 -0.8870 3.8325 1.3892 2.7163" Properties=species:S:1:pos:R:3 pbc="T T T"
Fe 0.3692 -2.0490 0.5257
Cr 2.9178 1.0574 2.0688
Cr -0.0498 -0.8026 2.5859
Ni 2.2855 -1.3544 1.8838
```

Record 10
The following is a DFT calculation (GGA-PBEsol) of an optimized crystal structure of CrFe2Ni.

Values from the calculation:
**Raw total energy**: -8.556 eV per atom
**Energy of formation from the pure elements**: 0.1 eV per formula unit
**SG**: I-4m2

```
4
Lattice="3.4915 0.0000 0.0000 0.0000 3.4915 0.0000 -1.7457 -1.7457 3.4917" Properties=species:S:1:pos:R:3 pbc="T T T"
Fe 1.7457 0.0000 1.7458
Fe 0.0000 0.0000 0.0000
Ni 1.7457 1.7457 0.0000
Cr 0.0000 1.7457 1.7458
```

Record 11
The following is a DFT calculation (GGA-PBEsol) of an optimized crystal structure of Cr2FeNi.

Values from the calculation:
**Raw total energy**: -8.845 eV per atom
**Energy of formation from the pure elements**: 0.2 eV per formula unit
**SG**: Cmm2

```
4
Lattice="-1.9337 -0.8933 1.1068 -0.2000 -0.7320 -2.2773 3.9603 -6.4391 1.7220" Properties=species:S:1:pos:R:3 pbc="T T T"
Ni -0.0759 -2.4239 -0.1544
Cr 0.0153 -0.0248 0.0066
Cr 1.8970 -5.6316 0.7034
Fe 1.9703 -3.2036 0.8567
```

Record 12
The following is a DFT calculation (GGA-PBEsol) of an optimized crystal structure of CrFe2Ni.

Values from the calculation:
**Raw total energy**: -8.477 eV per atom
**Energy of formation from the pure elements**: 0.4 eV per formula unit
**SG**: R-3m

```
4
Lattice="2.4515 0.0000 0.0000 1.2257 2.1231 0.0000 1.2257 0.7077 8.0550" Properties=species:S:1:pos:R:3 pbc="T T T"
Ni 2.4515 1.4154 4.0275
Cr 0.0000 0.0000 0.0000
Fe 3.6772 2.1231 6.0581
Fe 1.2258 0.7077 1.9969
```

Record 13
The following is a DFT calculation (GGA-PBEsol) of an optimized crystal structure of CrFe2Ni.

Values from the calculation:
**Raw total energy**: -8.524 eV per atom
**Energy of formation from the pure elements**: 0.2 eV per formula unit
**SG**: Cmm2

```
4
Lattice="2.3995 0.0076 0.0000 -0.5834 2.3275 0.0000 0.0000 0.0000 7.6892" Properties=species:S:1:pos:R:3 pbc="T T T"
Ni 0.0000 0.0000 3.8406
Fe 0.9081 1.1676 5.7487
Fe 0.0000 0.0000 0.0039
Cr 0.9081 1.1676 1.9407
```

Record 14
The following is a DFT calculation (GGA-PBEsol) of an optimized crystal structure of CrFeNi2.

Values from the calculation:
**Raw total energy**: -7.858 eV per atom
**Energy of formation from the pure elements**: 0.1 eV per formula unit
**SG**: Pmm2

```
4
Lattice="-1.0510 -1.2282 1.8101 3.0959 -2.4976 0.1029 1.9838 2.5786 2.9015" Properties=species:S:1:pos:R:3 pbc="T T T"
Ni 2.9738 0.6045 2.1369
Ni 0.0621 0.0807 0.0908
Cr 0.5292 0.7569 2.4477
Fe 1.4555 -1.3000 1.5898
```

Record 15
The following is a DFT calculation (GGA-PBEsol) of an optimized crystal structure of CrFe2NiOs.

Values from the calculation:
**Raw total energy**: -7.595 eV per atom
**Energy of formation from the pure elements**: 8.6 eV per formula unit
**SG**: P4/mmm

```
5
Lattice="4.3696 0.0000 0.0000 0.0000 4.3696 0.0000 0.0000 0.0000 4.4696" Properties=species:S:1:pos:R:3 pbc="T T T"
Cr 2.1848 2.1848 2.2348
Fe 0.0000 2.1848 0.0000
Fe 2.1848 0.0000 0.0000
Ni 0.0000 0.0000 2.2348
Os 0.0000 0.0000 0.0000
```

Record 16
The following is a DFT calculation (GGA-PBEsol) of an optimized crystal structure of Cr2FeO4.

Values from the calculation:
**Raw total energy**: -8.802 eV per atom
**ΔE_f (raw)**: -1596 meV/atom
**SG**: Fd-3m

```
14
Lattice="-2.8049 2.9197 -4.2750 1.7878 -5.5370 -0.9010 -2.9378 -1.7283 4.8009" Properties=species:S:1:pos:R:3 pbc="T T T"
Fe -3.9548 -4.3456 -0.3751
Fe -0.7959 -3.1250 -1.6132
O -1.7218 -0.6650 0.6745
O -4.3340 -0.1230 0.9137
O -2.2045 -1.8106 -2.0010
O -3.0177 0.7090 -1.5916
O -3.5210 -2.6425 0.5045
O -0.6754 -3.4013 0.3288
O -3.0584 -1.4519 2.8589
O -2.0119 -4.1883 2.5132
Cr -3.2693 -0.9668 -0.5436
Cr -1.8005 -0.1026 -2.9441
Cr -0.9729 -5.1951 1.1434
Cr -1.8669 -2.4266 1.5939
```

Record 17
The following is a DFT calculation (GGA-PBEsol) of an optimized crystal structure of CrFe3O.

Values from the calculation:
**Raw total energy**: -6.852 eV per atom
**ΔE_f (raw)**: 1624 meV/atom
**SG**: Pm-3m

```
5
Lattice="4.1347 0.0000 0.0000 0.0000 4.1347 0.0000 0.0000 0.0000 4.1347" Properties=species:S:1:pos:R:3 pbc="T T T"
Fe 0.0000 2.0674 0.0000
Fe 0.0000 0.0000 2.0674
Fe 2.0674 0.0000 0.0000
Cr 0.0000 0.0000 0.0000
O 2.0674 2.0674 2.0674
```

Record 18
The following is a DFT calculation (GGA-PBEsol) of an optimized crystal structure of Cr2FeO4.

Values from the calculation:
**Raw total energy**: -8.770 eV per atom
**ΔE_f (raw)**: -1564 meV/atom
**SG**: Pnma

```
28
Lattice="2.9269 0.0000 0.0000 0.0000 9.1094 0.0000 0.0000 0.0000 10.4874" Properties=species:S:1:pos:R:3 pbc="T T T"
O 0.7317 5.5549 0.3577
O 0.7317 8.3477 0.6902
O 2.1952 3.5545 10.1297
O 2.1952 7.3901 8.8896
O 0.7317 5.1789 8.1928
O 0.7317 3.7930 4.5534
O 0.7317 0.6242 7.5383
O 0.7317 1.0002 4.8860
O 2.1952 3.9305 2.2946
O 2.1952 5.3164 5.9339
O 0.7317 6.2740 3.6459
O 2.1952 2.8354 6.8414
O 2.1952 0.7617 9.7971
O 0.7317 1.7193 1.5978
O 2.1952 8.1092 5.6013
O 2.1952 8.4852 2.9491
Fe 2.1952 6.8614 7.0381
Fe 2.1952 2.3067 8.6930
Fe 0.7317 2.2480 3.4493
Fe 0.7317 6.8027 1.7944
Cr 0.7317 8.2279 4.2454
Cr 2.1952 5.4362 9.4891
Cr 2.1952 0.4388 1.2474
Cr 0.7317 8.6706 9.2399
Cr 2.1952 0.8815 6.2420
Cr 2.1952 4.9935 3.9963
Cr 0.7317 3.6732 0.9983
Cr 0.7317 4.1159 6.4911
```

Record 19
The following is a DFT calculation (GGA-PBEsol) of an optimized crystal structure of CrFeO3.

Values from the calculation:
**Raw total energy**: -8.524 eV per atom
**ΔE_f (raw)**: -1533 meV/atom
**SG**: R-3

```
10
Lattice="4.8468 0.0000 0.0000 2.4234 4.1975 0.0000 2.4234 1.3992 4.5339" Properties=species:S:1:pos:R:3 pbc="T T T"
Fe 2.4234 1.3992 2.4613
Fe 7.2703 4.1975 2.0726
O 6.4917 2.9129 3.4239
O 5.7684 1.4311 1.1099
O 5.5701 4.2800 1.1099
O 4.1236 1.3166 3.4239
O 3.2020 2.6838 1.1099
O 3.9253 4.1655 3.4239
Cr 4.8468 2.7983 4.3463
Cr 4.8468 2.7983 0.1876
```

Record 20
The following is a DFT calculation (GGA-PBEsol) of an optimized crystal structure of Cr2Fe3Si3O12.

Values from the calculation:
**Raw total energy**: -8.287 eV per atom
**ΔE_f (raw)**: -1907 meV/atom
**SG**: Ia-3d

```
80
Lattice="10.0497 0.0000 0.0000 -3.3499 9.4749 0.0000 -3.3499 -4.7375 8.2055" Properties=species:S:1:pos:R:3 pbc="T T T"
O -0.4466 0.8010 6.4747
O 3.3829 7.4846 3.1039
O -2.5790 -2.2147 5.8336
O 0.4904 8.0972 0.7320
O 1.7079 -1.6929 3.2756
O -0.0330 -2.7471 5.1016
O -0.7708 3.3155 0.9989
O 2.4458 6.1594 0.9989
O -0.9041 5.5302 4.8348
O -0.4904 3.4147 7.3784
O 2.1654 3.3597 7.4735
O 2.8594 -3.3597 7.4735
O 4.2540 -0.7927 3.3708
O -2.9033 4.2682 3.9310
O 3.8403 1.3228 0.8271
O 2.9033 -1.2703 5.6619
O 8.8652 0.0549 1.5591
O 5.4715 -0.8010 6.4747
O 1.2283 3.4672 2.5436
O 1.1845 1.3777 0.7320
O 0.7708 0.7927 3.3708
O 5.0578 2.7471 5.1016
O 4.9919 5.7917 0.1717
O -3.3829 1.0542 8.0338
O 2.5790 3.9447 4.8348
O 4.5782 5.2067 3.9310
O -1.7079 1.9903 3.1039
O -1.2283 -0.4692 4.2745
O 5.9289 6.9521 2.3719
O 6.7327 3.6832 0.1717
O 6.2093 -0.0549 1.5591
O 5.5153 -3.4147 7.3784
O -2.4458 2.2147 5.8336
O 3.7965 3.9364 1.7309
O 6.2531 0.4692 4.2745
O -5.5153 4.6825 6.6464
O -1.6420 -1.0542 8.0338
O 0.9041 -1.4219 7.2067
O 5.7957 2.5228 2.3719
O 0.0330 3.0446 4.9299
O 1.6420 6.4304 4.9299
O -2.1654 8.1521 0.8271
O 3.3169 1.6929 3.2756
O -2.8594 4.7924 6.6464
O 2.1216 1.2703 5.6619
O -2.1216 5.5385 1.7309
O 4.1207 1.4219 7.2067
O 0.4466 6.0077 2.5436
Si 4.1874 4.1453 5.1284
Si -0.8375 2.3687 6.1541
Si -2.5124 5.3296 5.1284
Si 4.1874 2.3687 2.0514
Si 5.8623 -2.3687 6.1541
Si -2.5124 7.1062 2.0514
Si 0.8375 6.5140 1.0257
Si 2.5124 -1.7765 7.1798
Si 5.8623 -0.5922 3.0771
Si 0.8375 2.9609 1.0257
Si -0.8375 0.5922 3.0771
Si 2.5124 1.7765 7.1798
Fe 2.5124 5.3296 3.0771
Fe -0.8375 -2.9609 7.1798
Fe -2.5124 0.0000 6.1541
Fe 5.8623 4.7375 2.0514
Fe -4.1874 2.9609 7.1798
Fe 0.8375 4.7375 6.1541
Fe 0.8375 -0.5922 5.1284
Fe -0.8375 4.1453 3.0771
Fe 4.1874 7.6984 1.0257
Fe 4.1874 0.5922 5.1284
Fe 7.5372 1.7765 1.0257
Fe 2.5124 0.0000 2.0514
Cr 5.0248 0.0000 0.0000
Cr -3.3499 2.3687 4.1028
Cr -1.6749 -2.3687 4.1028
Cr 3.3499 4.7375 0.0000
Cr 1.6749 2.3687 4.1028
Cr -1.6749 4.7375 0.0000
Cr 3.3499 -2.3687 4.1028
Cr 0.0000 0.0000 0.0000
```

no.,magnetization (μB/f.u.)
1,0.0
2,4.3
3,2.6
4,2.4
5,2.5
6,2.9
7,0.5
8,2.3
9,0.1
10,2.4
11,2.1
12,2.3
13,4.3
14,1.9
15,7.3
16,10.0
17,5.9
18,9.8
19,5.1
20,18.0